Density functional theory data (GGA-PBE) for a geometry-optimized TcTeCl4 structure.

Results
Fermi-level density of states (states/eV per cell): 13.58
Magnetization (μB/f.u.): 4.7
Formation energy (no corrections) (eV/atom): 0.987

CIF file:
```
data_TcTeCl4
_space_group_name_H-M_alt 'F -4 3 m'
_space_group_IT_number 216
_space_group_name_Hall 'F -4 2 3'
_cell_length_a 8.246
_cell_length_b 8.246
_cell_length_c 8.246
_cell_angle_alpha 90.00
_cell_angle_beta 90.00
_cell_angle_gamma 90.00
loop_
_atom_site_label
_atom_site_type_symbol
_atom_site_fract_x
_atom_site_fract_y
_atom_site_fract_z
Tc1 Tc 0.000 0.000 0.000
Te1 Te 0.250 0.250 0.750
Cl1 Cl 0.126 0.126 0.374
```



Density functional theory data (GGA-PBE) for a geometry-optimized TiCF2 structure.

Results
Fermi-level density of states (states/eV per cell): 11.28
Magnetization (μB/f.u.): 0.3
Energy relative to the lowest polymorph listed for this composition (meV per atom): 677
Formation energy (no corrections) (eV/atom): -0.251

CIF file:
```
data_TiCF2
_space_group_name_H-M_alt 'F m -3 m'
_space_group_IT_number 225
_space_group_name_Hall '-F 4 2 3'
_cell_length_a 5.361
_cell_length_b 5.361
_cell_length_c 5.361
_cell_angle_alpha 90.00
_cell_angle_beta 90.00
_cell_angle_gamma 90.00
loop_
_atom_site_label
_atom_site_type_symbol
_atom_site_fract_x
_atom_site_fract_y
_atom_site_fract_z
Ti1 Ti 0.000 0.000 0.000
C1 C 0.000 0.000 0.500
F1 F 0.250 0.250 0.250
```



Repeat the second record exactly.
Density functional theory data (GGA-PBE) for a geometry-optimized TiCF2 structure.

Results
Fermi-level density of states (states/eV per cell): 11.28
Magnetization (μB/f.u.): 0.3
Energy relative to the lowest polymorph listed for this composition (meV per atom): 677
Formation energy (no corrections) (eV/atom): -0.251

CIF file:
```
data_TiCF2
_space_group_name_H-M_alt 'F m -3 m'
_space_group_IT_number 225
_space_group_name_Hall '-F 4 2 3'
_cell_length_a 5.361
_cell_length_b 5.361
_cell_length_c 5.361
_cell_angle_alpha 90.00
_cell_angle_beta 90.00
_cell_angle_gamma 90.00
loop_
_atom_site_label
_atom_site_type_symbol
_atom_site_fract_x
_atom_site_fract_y
_atom_site_fract_z
Ti1 Ti 0.000 0.000 0.000
C1 C 0.000 0.000 0.500
F1 F 0.250 0.250 0.250
```



- Among the records above, which one has the lowest formation energy (no corrections)?
  TiCF2